Below is an optimized crystal structure of Li3Cd4Pt2, with properties calculated at the PBE level.

Output
DOS(E_F) = 3.41 states/eV per cell
Magnetic moment = 0.00 Bohr magnetons per cell
Space-group type = C2/m, No. 12
Total DFT energy (no corrections) = -2.800 eV/atom

Lattice parameters (Å, degrees): 4.6772 4.6772 8.4862 93.19 93.19 58.06
With the nearest neighbours (Å) after each atom.
Sites, in units of the cell vectors:
1 Li 0.0000 0.0000 0.0000  8 Cd 2.80-2.85
2 Li 0.3310 0.3310 0.4512  1 Pt 2.75, 3 Li 2.78-2.83, 4 Cd 2.83-2.88
3 Li 0.6690 0.6690 0.5488  1 Pt 2.75, 3 Li 2.78-2.83, 4 Cd 2.83-2.88
4 Cd 0.0006 0.0006 0.3299  4 Li 2.80-2.88, 3 Pt 2.82, 1 Cd 2.89
5 Cd 0.3327 0.3327 0.1137  4 Li 2.83-2.86, 4 Pt 2.83-2.88
6 Cd 0.6673 0.6673 0.8863  4 Li 2.83-2.86, 4 Pt 2.83-2.88
7 Cd 0.9994 0.9994 0.6701  4 Li 2.80-2.88, 3 Pt 2.82, 1 Cd 2.89
8 Pt 0.3335 0.3335 0.7748  1 Li 2.75, 7 Cd 2.82-2.88
9 Pt 0.6665 0.6665 0.2252  1 Li 2.75, 7 Cd 2.82-2.88